w.
A plane-wave DFT calculation with GGA-PBE was carried out for a relaxed Pr3Nd5Dy2 crystal.

Geometry as extended XYZ:
```
10
Lattice="-5.3002 1.2008 -1.2881 -1.2821 0.4903 -6.3757 -6.7149 -9.8260 6.3618" Properties=species:S:1:pos:R:3 pbc="T T T"
Dy -9.8691 -6.3750 -1.6591
Dy -3.4281 -1.7598 0.3570
Pr -10.9985 -7.5284 1.9128
Pr -2.2988 -0.6064 -3.2149
Pr -6.6486 -4.0674 -0.6510
Nd 0.0000 0.0000 0.0000
Nd -5.6207 -1.6022 -2.5827
Nd -4.6200 -5.1691 2.0830
Nd -8.6773 -2.9657 -3.3851
Nd -7.6766 -6.5326 1.2807
```

- SG = No. 12
- calculated density (g/cm3) = 6.8

***

x.
A plane-wave DFT calculation with GGA-PBE was carried out for a relaxed Pr3Nd5Dy2 crystal.

Geometry as extended XYZ:
```
20
Lattice="-3.2983 -1.4134 5.5469 -0.7878 -11.1104 0.6346 6.7432 2.4044 8.5565" Properties=species:S:1:pos:R:3 pbc="T T T"
Nd -1.8012 -3.5964 7.8480
Nd -0.1520 -2.8897 5.0745
Nd 2.8092 -7.2298 9.6636
Nd 2.4802 -9.2586 6.9839
Nd -0.7227 -4.7281 2.2996
Nd 4.4583 -6.5230 6.8901
Nd 0.1769 -0.8609 7.7541
Nd 0.5040 -5.4131 8.7558
Nd 2.1531 -4.7064 5.9823
Nd 3.3799 -5.3914 12.4384
Pr 3.3684 -3.3766 9.0108
Pr -0.8246 -0.3534 1.3867
Pr -0.7112 -6.7429 5.7272
Pr -0.8291 -8.6564 9.1038
Pr -2.4737 -1.0601 4.1602
Pr 3.4862 -1.4631 5.6343
Dy 2.9649 0.1052 9.6581
Dy -0.3844 -8.1579 1.6269
Dy 3.0415 -1.9616 13.1112
Dy -0.3077 -10.2247 5.0800
```

- SG = No. 72
- calculated density (g/cm3) = 6.9

***

The winner here is w, beating the second structure by 0.107 eV/atom.

***

w.
A plane-wave DFT calculation with GGA-PBE was carried out for a relaxed TbPrNdDy crystal.

Geometry as extended XYZ:
```
4
Lattice="-4.2426 -3.6987 1.2266 0.6306 -5.6021 -1.1844 0.6376 -3.7960 4.2857" Properties=species:S:1:pos:R:3 pbc="T T T"
Tb -1.4872 -6.5484 2.1640
Nd -0.7436 -3.2742 1.0820
Dy 0.0000 0.0000 0.0000
Pr -2.2308 -9.8226 3.2460
```

- SG = No. 216
- calculated density (g/cm3) = 7.5

***

x.
A plane-wave DFT calculation with GGA-PBE was carried out for a relaxed TbPrNdDy crystal.

Geometry as extended XYZ:
```
4
Lattice="-2.2140 -3.2432 3.3012 -0.4580 -3.4901 -3.7360 5.9339 1.4637 1.4315" Properties=species:S:1:pos:R:3 pbc="T T T"
Dy 1.5687 -2.4891 -1.3933
Pr 0.6918 -2.3661 2.1256
Nd 2.7601 -5.0620 0.8642
Tb 4.0980 -1.6961 1.0821
```

- SG = No. 119
- calculated density (g/cm3) = 7.5

***

The winner here is x, beating the second structure by 0.098 eV/atom.

***

w.
A plane-wave DFT calculation with GGA-PBE was carried out for a relaxed PrNdDyTl crystal.

Geometry as extended XYZ:
```
4
Lattice="5.6066 0.0000 0.0000 2.8033 4.8555 0.0000 2.8033 1.6185 4.5778" Properties=species:S:1:pos:R:3 pbc="T T T"
Nd 8.4099 4.8555 3.4333
Tl 0.0000 0.0000 0.0000
Dy 5.6066 3.2370 2.2889
Pr 2.8033 1.6185 1.1444
```

- SG = No. 216
- calculated density (g/cm3) = 8.7

***

x.
A plane-wave DFT calculation with GGA-PBE was carried out for a relaxed PrNdDyTl crystal.

Geometry as extended XYZ:
```
4
Lattice="-2.5701 3.6348 -2.3721 -4.2052 -1.7978 1.8014 0.4541 2.9049 3.9592" Properties=species:S:1:pos:R:3 pbc="T T T"
Pr -1.0580 3.2699 0.7935
Dy -1.8755 0.5536 2.8803
Tl 0.0000 0.0000 0.0000
Nd -3.3876 0.9185 -0.2853
```

- SG = No. 47
- calculated density (g/cm3) = 8.9

***

The winner here is x, beating the second structure by 0.128 eV/atom.

***

w.
A plane-wave DFT calculation with GGA-PBE was carried out for a relaxed PrNdDyZn crystal.

Geometry as extended XYZ:
```
4
Lattice="-1.0365 3.2511 1.2897 -3.4814 -0.8300 -0.7058 -0.8112 -3.4599 8.0702" Properties=species:S:1:pos:R:3 pbc="T T T"
Nd -2.8889 -1.4762 6.5588
Pr -0.0647 -0.2761 0.6441
Dy -2.5588 -0.0683 3.2748
Zn -0.4532 -1.9332 4.5091
```

- SG = No. 99
- calculated density (g/cm3) = 7.3

***

x.
A plane-wave DFT calculation with GGA-PBE was carried out for a relaxed PrNdDyZn crystal.

Geometry as extended XYZ:
```
4
Lattice="-2.0987 4.4821 2.3285 -4.1504 2.6377 -2.3943 -4.9916 -0.1587 2.2304" Properties=species:S:1:pos:R:3 pbc="T T T"
Nd -8.4305 5.2208 1.6234
Dy -5.6203 3.4805 1.0823
Pr -2.8102 1.7403 0.5411
Zn 0.0000 0.0000 0.0000
```

- SG = No. 216
- calculated density (g/cm3) = 7.4

***

The winner here is w, beating the second structure by 0.186 eV/atom.

***

w.
A plane-wave DFT calculation with GGA-PBE was carried out for a relaxed Nd2Dy3Pt4 crystal.

Geometry as extended XYZ:
```
18
Lattice="7.3645 0.0000 0.0000 0.0000 7.7875 0.0000 -3.6823 0.0000 7.8781" Properties=species:S:1:pos:R:3 pbc="T T T"
Pt 0.0000 3.5121 4.8194
Pt 1.8411 1.9469 0.5307
Pt 3.6823 4.2753 3.0587
Pt 1.8411 5.8406 7.3474
Pt 5.5234 1.9469 0.5307
Pt 3.6823 0.3816 4.8194
Pt 0.0000 7.4059 3.0587
Pt -1.8411 5.8406 7.3474
Dy 5.5234 1.9469 3.3300
Dy 0.0000 0.0000 0.0000
Dy 3.6823 3.8937 0.0000
Dy 1.8411 5.8406 4.5481
Dy 1.8411 1.9469 3.3300
Dy -1.8411 5.8406 4.5481
Nd 0.0000 4.6581 1.5790
Nd 3.6823 3.1294 6.2991
Nd 3.6823 7.0231 1.5790
Nd 0.0000 0.7644 6.2991
```

- SG = No. 64
- calculated density (g/cm3) = 11.4

***

x.
A plane-wave DFT calculation with GGA-PBE was carried out for a relaxed Nd2Dy3Pt4 crystal.

Geometry as extended XYZ:
```
18
Lattice="7.8731 0.0422 0.0000 -2.5516 7.1921 0.0000 0.0000 0.0000 7.6706" Properties=species:S:1:pos:R:3 pbc="T T T"
Dy 5.2712 1.7892 6.4116
Dy 0.0503 5.4451 1.2590
Dy -1.2758 3.5961 3.8353
Dy 1.3347 1.7681 5.0943
Dy 3.9868 5.4662 2.5763
Dy 2.6607 3.6172 0.0000
Pt 6.5706 0.6971 4.1232
Pt -1.2492 6.5372 3.5474
Pt 3.6611 3.6381 4.8628
Pt 2.6341 0.6760 7.3827
Pt 1.6604 3.5962 2.8077
Pt -0.2754 3.6170 6.6430
Pt 2.6874 6.5583 0.2879
Pt 5.5969 3.6173 1.0275
Nd 4.0926 1.4462 2.4770
Nd 0.1561 1.4251 1.3583
Nd 1.2289 5.7881 5.1936
Nd 5.1654 5.8092 6.3123
```

- SG = No. 14
- calculated density (g/cm3) = 11.9

***

The winner here is x, beating the second structure by 0.143 eV/atom.

***

w.
A plane-wave DFT calculation with GGA-PBE was carried out for a relaxed NdDyPt2 crystal.

Geometry as extended XYZ:
```
4
Lattice="3.5424 0.0000 0.0000 0.0000 3.5424 0.0000 0.0000 0.0000 7.1420" Properties=species:S:1:pos:R:3 pbc="T T T"
Nd 1.7712 1.7712 3.5710
Pt 0.0000 0.0000 5.4822
Pt 0.0000 0.0000 1.6597
Dy 1.7712 1.7712 0.0000
```

- SG = No. 123
- calculated density (g/cm3) = 12.9

***

x.
A plane-wave DFT calculation with GGA-PBE was carried out for a relaxed NdDyPt2 crystal.

Geometry as extended XYZ:
```
4
Lattice="5.0280 0.0000 0.0000 2.5140 4.3544 0.0000 2.5140 1.4515 4.1054" Properties=species:S:1:pos:R:3 pbc="T T T"
Nd 5.0280 2.9029 2.0527
Dy 0.0000 0.0000 0.0000
Pt 7.5421 4.3544 3.0790
Pt 2.5140 1.4515 1.0263
```

- SG = No. 225
- calculated density (g/cm3) = 12.9

***

y.
A plane-wave DFT calculation with GGA-PBE was carried out for a relaxed NdDyPt2 crystal.

Geometry as extended XYZ:
```
4
Lattice="-3.6291 1.9787 -0.0175 -1.8691 0.9210 3.5699 1.3957 6.8891 1.3464" Properties=species:S:1:pos:R:3 pbc="T T T"
Dy 0.0000 0.0000 0.0000
Pt -1.0656 2.3739 1.2227
Pt -3.0369 7.4150 3.6761
Nd -2.0512 4.8944 2.4494
```

- SG = No. 166
- calculated density (g/cm3) = 11.6

***

z.
A plane-wave DFT calculation with GGA-PBE was carried out for a relaxed NdDyPt2 crystal.

Geometry as extended XYZ:
```
4
Lattice="4.0784 0.0000 0.0000 2.0392 3.5320 0.0000 2.0392 1.1773 7.0136" Properties=species:S:1:pos:R:3 pbc="T T T"
Pt 2.0392 1.1773 5.3216
Pt 2.0392 1.1773 1.6915
Dy 6.1176 3.5320 6.9566
Nd 4.0784 2.3547 3.5643
```

- SG = No. 160
- calculated density (g/cm3) = 11.5

***

The winner here is w, beating the second structure by 0.012 eV/atom.